A plane-wave DFT calculation with SCAN was carried out for a PBEsol-optimized structure of Fe2WCl.

abc: 2.8216 2.8216 8.0190
angles: 79.87 79.87 60.00
With the nearest neighbours (Å) after each atom.
Fractional coordinates of all 4 atoms:
Cl 0.2524 0.2524 0.2427  3 Fe 2.57, 3 W 2.62, 6 Cl 2.82
Fe 0.0034 0.0034 0.9897  3 Fe 2.41, 3 Cl 2.57
Fe 0.7455 0.7455 0.7635  3 Fe 2.41, 3 W 2.61
W 0.4986 0.4986 0.5042  3 Fe 2.61, 3 Cl 2.62, 6 W 2.82

Computed properties:
The theoretical density comes out at 10.15 Mg/m³. The calculation puts the total energy at -28.098 eV per atom. As for the symmetry: R3m (160). The value obtained for the raw formation energy is 1.5 eV per formula unit.